An optimized crystal structure of Li2Ca8Tl, computed with PBE-GGA.

Calculated values
Fermi-level density of states	9.03	states/eV per cell
formation enthalpy at 0 K	-1	kJ per mole of atoms
ρ	2.3	g/cm3
total magnetic moment	0.00	Bohr magnetons per cell

Lattice parameters (Å, degrees): 5.9836 8.7626 8.7626 114.48 99.79 99.79
Sites, in units of the cell vectors:
Li (0.0000, 0.3156, 0.6844)
Li (0.0000, 0.6844, 0.3156)
Ca (0.9053, 0.9227, 0.6779)
Ca (0.9053, 0.6779, 0.9227)
Ca (0.3243, 0.6297, 0.6297)
Ca (0.5000, 0.7758, 0.2242)
Ca (0.5000, 0.2242, 0.7758)
Ca (0.6757, 0.3703, 0.3703)
Ca (0.0947, 0.3221, 0.0773)
Ca (0.0947, 0.0773, 0.3221)
Tl (0.5000, 0.0000, 0.0000)